# 1
Here is a geometry-optimized Hg4RhCl structure from Alexandria. Energies are from PBE.

Raw formation energy (eV per atom): 0.465
SG: F-43m (216)
Total magnetic moment (Bohr magnetons per cell): 0.84

Structure (POSCAR):
```
Hg4RhCl
1.0
0.0000 4.1313 4.1313
4.1313 0.0000 4.1313
4.1313 4.1313 0.0000
Hg Rh Cl
4 1 1
Cartesian
5.1624 5.1624 3.1002
3.1002 3.1002 3.1002
3.1002 5.1624 5.1624
5.1624 3.1002 5.1624
6.1969 6.1969 6.1969
0.0000 0.0000 0.0000
```

# 2
Here is a geometry-optimized LaPdI2N structure from Alexandria. Energies are from PBE.

Raw formation energy (eV per atom): -0.002
SG: P4/mmm (123)
Total magnetic moment (Bohr magnetons per cell): 0.19

Structure (POSCAR):
```
LaPdI2N
1.0
-0.3673 -5.8987 -0.4903
5.9190 -0.3667 -0.0226
-0.0050 -0.3158 3.8034
I La N Pd
2 1 1 1
Cartesian
2.9595 -0.1833 -0.0113
-0.1836 -2.9493 -0.2452
2.7733 -3.2906 1.6452
-0.0025 -0.1579 1.9017
0.0000 0.0000 0.0000
```

# 3
Here is a geometry-optimized TaHg2Bi2 structure from Alexandria. Energies are from PBE.

SG: P4/mbm (127)
Total magnetic moment (Bohr magnetons per cell): 0.00
ΔE_f (eV/atom): 0.654

Structure (POSCAR):
```
TaHg2Bi2
1.0
-1.4678 -7.3689 1.2436
7.4038 -1.2617 1.2628
-0.6210 0.8878 4.5278
Ta Hg Bi
2 4 4
Cartesian
0.0000 0.0000 0.0000
2.9680 -4.3153 1.2532
4.3889 -1.6373 3.3164
4.8685 -5.5285 4.1452
0.4464 -2.2143 2.8889
0.9261 -6.1055 3.7177
5.7744 -3.6442 1.5065
3.5723 -7.0785 1.8778
2.3636 -1.5521 0.6285
0.1615 -4.9864 0.9999
```

# 4
Here is a geometry-optimized Li3Cu structure from Alexandria. Energies are from PBE.

SG: Pm-3n (223)
Total magnetic moment (Bohr magnetons per cell): 0.00
ΔE_f (eV/atom): 0.038

Structure (POSCAR):
```
Li3Cu
1.0
4.9635 0.0000 0.0000
0.0000 4.9635 0.0000
0.0000 0.0000 4.9635
Li Cu
6 2
Cartesian
0.0000 1.2409 2.4818
3.7226 2.4818 0.0000
0.0000 3.7226 2.4818
1.2409 2.4818 0.0000
2.4818 0.0000 1.2409
2.4818 0.0000 3.7226
0.0000 0.0000 0.0000
2.4818 2.4818 2.4818
```

# 5
Here is a geometry-optimized Tb4YTe5 structure from Alexandria. Energies are from PBE.

Raw formation energy (eV per atom): -1.309
SG: I4/mmm (139)
Total magnetic moment (Bohr magnetons per cell): 0.00

Structure (POSCAR):
```
Tb4YTe5
1.0
-2.4799 2.1033 -2.9006
-3.5107 -2.1311 1.4562
0.4368 11.3306 11.1157
Tb Te Y
4 5 1
Cartesian
-3.4895 2.1721 1.2854
-4.5026 6.6529 5.4007
-2.0643 9.1307 8.3858
-1.0513 4.6499 4.2705
-1.5541 6.8738 6.3131
-3.9998 4.4290 3.3582
-5.0326 8.9972 7.5537
-2.9953 -0.0139 -0.7222
-0.5213 2.3056 2.1175
0.0000 0.0000 0.0000
```

# 6
Here is a geometry-optimized SnSe2N structure from Alexandria. Energies are from PBE.

Raw formation energy (eV per atom): 0.700
SG: I-42d (122)
Total magnetic moment (Bohr magnetons per cell): 0.00

Structure (POSCAR):
```
SnSe2N
1.0
5.8544 0.0000 0.0000
0.0000 5.8544 0.0000
2.9272 2.9272 5.5375
N Se Sn
2 4 2
Cartesian
2.9272 2.9272 0.0000
2.9272 5.8544 2.7688
4.3908 5.1325 4.1531
2.2053 4.3908 1.3844
3.6491 1.4636 1.3844
7.3180 6.5764 4.1531
0.0000 0.0000 0.0000
5.8544 2.9272 2.7688
```

# 7
Here is a geometry-optimized Ac3NdSn4 structure from Alexandria. Energies are from PBE.

SG: Immm (71)
Total magnetic moment (Bohr magnetons per cell): 0.00
ΔE_f (eV/atom): -0.560

Structure (POSCAR):
```
Ac3NdSn4
1.0
4.5231 0.0000 0.0000
0.0000 7.2698 0.0000
-2.2615 -3.6349 9.1127
Ac Sn Nd
3 4 1
Cartesian
2.2615 3.6349 5.4616
0.0000 3.6349 0.0000
0.0000 0.0000 3.6512
2.2615 2.1728 2.3100
0.0000 -1.4621 6.8028
2.2615 5.0970 2.3100
0.0000 1.4621 6.8028
2.2615 0.0000 0.0000
```

So what do the calculations give for DOS at the Fermi energy? Going down the list: 5.94 5.50 7.46 5.39 5.27 4.80 7.68 states/eV/cell.
So what do the calculations give for uncorrected energy? Going down the list: -0.093 -0.317 -0.249 -0.178 -0.395 -0.303 -0.345 Ry per atom.